# 1
Compound: LiZn2AgPd
Source: Alexandria
Functional: PBE
Structure: relaxed

POSCAR file:
```
LiZn2AgPd
1.0
6.448 -2.170 0.000
6.448 2.170 0.000
-0.800 0.000 5.403
Li Zn Ag Pd
2 4 2 2
Cartesian
0.973 0.000 2.519 Li
11.123 0.000 2.883 Li
0.564 0.000 5.279 Zn
3.527 0.000 1.937 Zn
8.569 0.000 3.466 Zn
11.532 0.000 0.124 Zn
6.178 0.000 1.350 Ag
5.918 0.000 4.053 Ag
3.092 0.000 4.575 Pd
9.003 0.000 0.827 Pd
```

Results
- Fermi-level density of states (states/eV/cell) = 3.34
- size of the total moment (μB/f.u.) = 0.00
- crystal system = monoclinic
- formation energy (eV/atom) = -0.315



# 2
Compound: KYPCl2
Source: Alexandria
Functional: PBE
Structure: relaxed

POSCAR file:
```
KYPCl2
1.0
5.176 0.000 0.000
0.000 5.176 0.000
0.000 0.000 5.781
K Y P Cl
1 1 1 2
Cartesian
0.000 0.000 0.000 K
2.588 2.588 2.890 Y
0.000 0.000 2.890 P
0.000 2.588 0.000 Cl
2.588 0.000 0.000 Cl
```

Results
- Fermi-level density of states (states/eV/cell) = 0.38
- energy relative to the elements, uncorrected (eV per atom) = -0.237
- size of the total moment (μB/f.u.) = 1.01
- crystal system = tetragonal
- relative energy among the computed polymorphs (eV/f.u.) = 5.54



# 3
Compound: Al2AgBr
Source: Alexandria
Functional: PBE
Structure: relaxed

POSCAR file:
```
Al2AgBr
1.0
3.834 -3.707 0.000
3.834 3.707 0.000
-0.993 0.000 2.991
Al Ag Br
2 1 1
Cartesian
1.917 1.853 0.000 Al
1.917 -1.853 0.000 Al
-0.496 0.000 1.496 Ag
3.338 0.000 1.496 Br
```

Results
- Fermi-level density of states (states/eV/cell) = 1.35
- energy relative to the elements, uncorrected (eV per atom) = 0.137
- size of the total moment (μB/f.u.) = 0.00
- crystal system = monoclinic
- relative energy among the computed polymorphs (eV/f.u.) = 0.55



# 4
Compound: CsBe4Sb3O12
Source: Alexandria
Functional: PBE
Structure: relaxed

POSCAR file:
```
CsBe4Sb3O12
1.0
5.121 2.957 2.694
-5.121 2.957 2.694
0.000 -5.914 2.694
Cs Be Sb O
1 4 3 12
Cartesian
0.000 0.000 0.000 Cs
-2.232 -3.866 4.041 Be
0.000 0.000 4.041 Be
-2.232 3.866 4.041 Be
4.464 0.000 4.041 Be
-2.839 -0.997 2.694 Sb
2.282 -1.960 2.694 Sb
0.556 2.957 2.694 Sb
-3.046 -2.651 3.638 O
-4.133 0.000 4.041 O
-0.773 -3.964 4.444 O
-1.597 0.000 4.041 O
-3.046 2.651 4.444 O
2.066 -3.579 4.041 O
0.798 -1.383 4.041 O
-0.773 3.964 3.638 O
0.798 1.383 4.041 O
3.819 -1.313 3.638 O
2.066 3.579 4.041 O
3.819 1.313 4.444 O
```

Results
- energy relative to the elements, uncorrected (eV per atom) = -1.813
- size of the total moment (μB/f.u.) = 0.00
- crystal system = trigonal



# 5
Compound: NpSO
Source: Alexandria
Functional: PBE
Structure: relaxed

POSCAR file:
```
NpSO
1.0
3.795 0.000 0.000
0.000 3.795 0.000
0.000 0.000 6.696
Np S O
2 2 2
Cartesian
0.949 0.949 1.314 Np
2.846 2.846 5.382 Np
0.949 0.949 4.229 S
2.846 2.846 2.467 S
0.949 2.846 0.000 O
2.846 0.949 0.000 O
```

Results
- Fermi-level density of states (states/eV/cell) = 16.06
- energy relative to the elements, uncorrected (eV per atom) = -2.234
- size of the total moment (μB/f.u.) = 3.00
- crystal system = tetragonal



# 6
Compound: CaErGa2
Source: Alexandria
Functional: PBE
Structure: relaxed

POSCAR file:
```
CaErGa2
1.0
1.814 1.047 9.022
-1.814 1.047 9.022
0.000 -2.095 9.022
Ca Er Ga
1 1 2
Cartesian
0.000 0.000 0.000 Ca
0.000 0.000 13.534 Er
0.000 0.000 6.700 Ga
0.000 0.000 20.367 Ga
```

Results
- Fermi-level density of states (states/eV/cell) = 2.69
- size of the total moment (μB/f.u.) = 0.00
- crystal system = trigonal
- formation energy (eV/atom) = -0.306



- What is the formula in the fourth record?
  CsBe4Sb3O12